Below is a relaxed structure of MnPtN2O, with properties calculated at the PBEsol level.

a b c (Å): 3.7285 3.7285 4.3962
angles (deg): 90.00 90.00 90.00
With the nearest neighbours (Å) after each atom.
Fractional positions:
Mn  0.0000  0.0000  0.0000  4 O 2.64, 8 N 2.88
Pt  0.5000  0.5000  0.5000  4 N 1.86
N  0.0000  0.5000  0.5000  2 Pt 1.86
N  0.5000  0.0000  0.5000  2 Pt 1.86
O  0.5000  0.5000  0.0000  2 Pt 2.20

Summary:
VASP energy (eV/atom): -6.7993
Spin magnetization (μB/cell): 4.70


Below is a relaxed structure of Dy2CuO4, with properties calculated at the PBEsol level.

a b c (Å): 6.3654 6.3654 6.3654
angles (deg): 145.10 145.10 50.18
With the nearest neighbours (Å) after each atom.
Fractional positions:
Dy  0.1509  0.1509  0.0000  4 O 2.22
Dy  0.8491  0.8491  0.0000  4 O 2.22
Cu  0.5000  0.5000  0.0000  4 O 1.91
O  0.0000  0.5000  0.5000  2 Cu 1.91
O  0.2500  0.7500  0.5000  4 Dy 2.22
O  0.5000  0.0000  0.5000  2 Cu 1.91
O  0.7500  0.2500  0.5000  4 Dy 2.22

Summary:
VASP energy (eV/atom): -7.8004
Spin magnetization (μB/cell): 0.00


Below is a relaxed structure of NiAg2Br, with properties calculated at the PBEsol level.

a b c (Å): 4.6338 4.6338 6.3219
angles (deg): 106.82 106.82 37.59
With the nearest neighbours (Å) after each atom.
Fractional positions:
Ni  0.0000  0.0000  0.0000  2 Br 2.32, 1 Ag 2.59
Ag  0.2444  0.2444  0.8519  3 Ni 2.59-2.62, 3 Ag 2.71-2.79
Ag  0.4718  0.4718  0.6432  2 Ni 2.65, 3 Ag 2.71-2.79, 1 Br 2.73
Br  0.5928  0.5928  0.2931  2 Ni 2.32

Summary:
ΔE to the lowest computed polymorph (eV per formula unit): 0.00
VASP energy (eV/atom): -3.4308
Spin magnetization (μB/cell): 0.00


Below is a relaxed structure of Ce2Pd3Rh3, with properties calculated at the PBEsol level.

a b c (Å): 4.0363 4.1219 7.8813
angles (deg): 90.00 90.00 90.00
With the nearest neighbours (Å) after each atom.
Fractional positions:
Ce  0.0000  0.0000  0.2451  6 Rh 2.79-2.85, 6 Pd 2.88
Ce  0.0000  0.0000  0.7549  6 Rh 2.79-2.85, 6 Pd 2.88
Pd  0.0000  0.5000  0.5000  4 Pd 2.82, 4 Ce 2.88, 4 Rh 2.88
Pd  0.5000  0.5000  0.2497  6 Rh 2.82-2.85, 2 Pd 2.82, 4 Ce 2.88
Pd  0.5000  0.5000  0.7503  6 Rh 2.82-2.85, 2 Pd 2.82, 4 Ce 2.88
Rh  0.0000  0.5000  0.0000  4 Pd 2.82, 4 Ce 2.82, 4 Rh 2.88
Rh  0.5000  0.0000  0.0000  4 Ce 2.79, 4 Pd 2.85, 4 Rh 2.88
Rh  0.5000  0.0000  0.5000  4 Ce 2.85, 8 Pd 2.85-2.88

Summary:
Formation enthalpy at 0 K (meV/atom): -676
VASP energy (eV/atom): -7.6112
Spin magnetization (μB/cell): 0.00


Below is a relaxed structure of SmCuSi, with properties calculated at the PBEsol level.

a b c (Å): 4.0584 4.0584 4.0092
angles (deg): 90.00 90.00 120.00
With the nearest neighbours (Å) after each atom.
Fractional positions:
Sm  0.0000  0.0000  0.0000  6 Cu 3.08, 6 Si 3.08
Cu  0.3333  0.6667  0.5000  3 Si 2.34
Si  0.6667  0.3333  0.5000  3 Cu 2.34

Summary:
VASP energy (eV/atom): -5.7015
Spin magnetization (μB/cell): 0.00


Below is a relaxed structure of LiLaY2, with properties calculated at the PBEsol level.

a b c (Å): 6.7655 6.7655 6.7655
angles (deg): 103.75 103.75 121.63
With the nearest neighbours (Å) after each atom.
Fractional positions:
Li  0.0000  0.0000  0.0000  4 Y 2.86
Li  0.7500  0.2500  0.5000  4 Y 2.86
La  0.2500  0.7500  0.5000  4 Y 3.29, 2 Li 3.30
La  0.5000  0.5000  0.0000  4 Y 3.29, 2 Li 3.30
Y  0.0869  0.1250  0.4619  2 Li 2.86
Y  0.3750  0.9131  0.0381  2 Li 2.86
Y  0.6631  0.6250  0.5381  2 Li 2.86
Y  0.8750  0.3369  0.9619  2 Li 2.86

Summary:
Formation enthalpy at 0 K (meV/atom): 294
ΔE to the lowest computed polymorph (eV per formula unit): 0.84
VASP energy (eV/atom): -4.9452
Spin magnetization (μB/cell): 0.00


Below is a relaxed structure of YTa3O9, with properties calculated at the PBEsol level.

a b c (Å): 6.3871 7.5696 12.4288
angles (deg): 90.00 90.00 90.00
With the nearest neighbours (Å) after each atom.
Fractional positions:
Y  0.0589  0.2500  0.0333  9 O 2.34-2.55
Y  0.4411  0.7500  0.5333  9 O 2.34-2.55
Y  0.5589  0.2500  0.4667  9 O 2.34-2.55
Y  0.9411  0.7500  0.9667  9 O 2.34-2.55
Ta  0.0000  0.0000  0.5000  6 O 1.97-2.00
Ta  0.0000  0.5000  0.5000  6 O 1.97-2.00
Ta  0.1974  0.0027  0.7885  6 O 1.93-2.14
Ta  0.1974  0.4973  0.7885  6 O 1.93-2.14
Ta  0.3026  0.5027  0.2885  6 O 1.93-2.14
Ta  0.3026  0.9973  0.2885  6 O 1.93-2.14
Ta  0.5000  0.0000  0.0000  6 O 1.97-2.00
Ta  0.5000  0.5000  0.0000  6 O 1.97-2.00
Ta  0.6974  0.0027  0.7115  6 O 1.93-2.14
Ta  0.6974  0.4973  0.7115  6 O 1.93-2.14
Ta  0.8026  0.5027  0.2115  6 O 1.93-2.14
Ta  0.8026  0.9973  0.2115  6 O 1.93-2.14
O  0.0101  0.0487  0.6577  3 Ta 2.00-2.14
O  0.0101  0.4513  0.6577  3 Ta 2.00-2.14
O  0.0734  0.7500  0.5288  2 Ta 1.98
O  0.1113  0.0400  0.1682  2 Ta 1.96-2.07
O  0.1113  0.4600  0.1682  2 Ta 1.96-2.07
O  0.1527  0.2500  0.8348  2 Ta 1.98
O  0.1989  0.7500  0.8096  2 Ta 1.93
O  0.2023  0.5312  0.9648  1 Ta 1.97
O  0.2023  0.9688  0.9648  1 Ta 1.97
O  0.2977  0.0312  0.4648  1 Ta 1.97
O  0.2977  0.4688  0.4648  1 Ta 1.97
O  0.3011  0.2500  0.3096  2 Ta 1.93
O  0.3473  0.7500  0.3348  2 Ta 1.98
O  0.3887  0.5400  0.6682  2 Ta 1.96-2.07
O  0.3887  0.9600  0.6682  2 Ta 1.96-2.07
O  0.4266  0.2500  0.0288  2 Ta 1.98
O  0.4899  0.5487  0.1577  3 Ta 2.00-2.14
O  0.4899  0.9513  0.1577  3 Ta 2.00-2.14
O  0.5101  0.0487  0.8423  3 Ta 2.00-2.14
O  0.5101  0.4513  0.8423  3 Ta 2.00-2.14
O  0.5734  0.7500  0.9712  2 Ta 1.98
O  0.6113  0.0400  0.3318  2 Ta 1.96-2.07
O  0.6113  0.4600  0.3318  2 Ta 1.96-2.07
O  0.6527  0.2500  0.6652  2 Ta 1.98
O  0.6989  0.7500  0.6904  2 Ta 1.93
O  0.7023  0.5312  0.5352  1 Ta 1.97
O  0.7023  0.9688  0.5352  1 Ta 1.97
O  0.7977  0.0312  0.0352  1 Ta 1.97
O  0.7977  0.4688  0.0352  1 Ta 1.97
O  0.8011  0.2500  0.1904  2 Ta 1.93
O  0.8473  0.7500  0.1652  2 Ta 1.98
O  0.8887  0.5400  0.8318  2 Ta 1.96-2.07
O  0.8887  0.9600  0.8318  2 Ta 1.96-2.07
O  0.9266  0.2500  0.4712  2 Ta 1.98
O  0.9899  0.5487  0.3423  3 Ta 2.00-2.14
O  0.9899  0.9513  0.3423  3 Ta 2.00-2.14

Summary:
ΔE to the lowest computed polymorph (eV per formula unit): 0.02
VASP energy (eV/atom): -10.1074
Spin magnetization (μB/cell): 0.00


Below is a relaxed structure of Mg2Tl3, with properties calculated at the PBEsol level.

a b c (Å): 4.9583 4.9583 6.1544
angles (deg): 90.00 90.00 120.00
With the nearest neighbours (Å) after each atom.
Fractional positions:
Mg  0.3333  0.6667  0.3554  8 Tl 3.00-3.17
Mg  0.6667  0.3333  0.6446  8 Tl 3.00-3.17
Tl  0.0000  0.0000  0.5000  6 Mg 3.00
Tl  0.3333  0.6667  0.8668  5 Mg 3.01-3.17, 3 Tl 3.30
Tl  0.6667  0.3333  0.1332  5 Mg 3.01-3.17, 3 Tl 3.30

Summary:
Formation enthalpy at 0 K (meV/atom): -1
ΔE to the lowest computed polymorph (eV per formula unit): 0.18
VASP energy (eV/atom): -2.2656
Spin magnetization (μB/cell): 0.00


Among the records above, which one has the highest VASP energy? Mg2Tl3